Compound: CdMoPtO6
Source: Alexandria via LeMat-Bulk
Functional: PBE with a Hubbard U
Structure: optimized geometry

```
18
Lattice="-1.0024 4.4828 1.4774 -3.6947 -1.6851 2.6064 5.8254 -1.1698 7.5015" Properties=species:S:1:pos:R:3 pbc="T T T"
O -2.0758 -0.5958 3.7221
O -0.5188 2.9713 3.0692
O -1.5153 1.6163 5.2170
O 1.5843 -1.3533 8.4507
O 1.4793 2.8239 5.4683
O 0.4337 0.4554 3.5225
O -1.5012 0.9079 1.3802
O -0.2815 -1.2100 6.2066
O 0.6251 1.1927 8.0074
O 2.6057 0.0130 6.2854
O 3.1594 2.2553 7.7903
O -3.1263 1.8759 2.7932
Pt 2.5008 0.4251 8.2865
Pt 1.9366 -0.3889 2.4939
Cd 0.5692 0.8129 5.7992
Cd 0.0051 -0.0010 0.0065
Mo 3.9216 -0.7875 5.0499
Mo -1.3396 1.1963 3.3411
```

Results
Its calculated total energy is -5.875 eV per atom. The theoretical density is 7.44 g/cm3.